Entry 1:
{"formula": "La3PrSe4", "functional": "PBE-GGA", "state": "relaxed", "lattice_angstrom": [[7.4686, 0.0000, 0.0000], [0.0000, 8.5519, 0.0000], [-2.4762, 0.0000, 7.0483]], "species": ["La", "La", "La", "La", "La", "La", "Pr", "Pr", "Se", "Se", "Se", "Se", "Se", "Se", "Se", "Se"], "fractional_positions": [[0.0000, 0.1246, 0.2500], [0.0000, 0.3743, 0.7500], [0.0000, 0.6257, 0.2500], [0.0000, 0.8754, 0.7500], [0.5000, 0.3743, 0.2500], [0.5000, 0.6257, 0.7500], [0.5000, 0.1244, 0.7500], [0.5000, 0.8756, 0.2500], [0.2512, 0.1243, 0.0000], [0.2507, 0.3744, 0.5008], [0.2507, 0.6256, 0.0008], [0.2512, 0.8757, 0.5000], [0.7488, 0.1243, 0.5000], [0.7493, 0.3744, 0.9992], [0.7493, 0.6256, 0.4992], [0.7488, 0.8757, 0.0000]], "relative_energy_mev_per_atom": 0, "formation_energy_uncorrected_ev_per_fu": -15.74, "energy_ev_per_atom": -6.1552, "dos_at_fermi_per_ev_cell": 8.88, "sg": "P2/c (13)", "total_magnetization_mub_per_fu": 0.000}

***

Entry 2:
{"formula": "LiCeAg2Br6", "functional": "PBE-GGA", "state": "relaxed", "lattice_angstrom": [[7.2941, 0.0000, 0.0000], [0.0000, 7.2629, 0.0000], [-7.2238, 0.0000, 11.0634]], "species": ["Li", "Li", "Ce", "Ce", "Ag", "Ag", "Ag", "Ag", "Br", "Br", "Br", "Br", "Br", "Br", "Br", "Br", "Br", "Br", "Br", "Br"], "fractional_positions": [[0.0000, 0.0000, 0.0000], [0.0000, 0.5000, 0.5000], [0.5000, 0.0000, 0.5000], [0.5000, 0.5000, 0.0000], [0.2594, 0.0265, 0.7424], [0.2594, 0.4735, 0.2424], [0.7406, 0.5265, 0.7576], [0.7406, 0.9735, 0.2576], [0.0895, 0.1797, 0.4346], [0.0895, 0.3203, 0.9346], [0.2508, 0.6607, 0.4223], [0.2508, 0.8393, 0.9223], [0.3698, 0.1047, 0.2506], [0.3698, 0.3953, 0.7506], [0.6302, 0.6047, 0.2494], [0.6302, 0.8953, 0.7494], [0.7492, 0.1607, 0.0777], [0.7492, 0.3393, 0.5777], [0.9105, 0.6797, 0.0654], [0.9105, 0.8203, 0.5654]], "formation_energy_uncorrected_ev_per_fu": -11.15, "energy_ev_per_atom": -3.4739, "dos_at_fermi_per_ev_cell": 15.78, "sg": "P2_1/c (14)", "total_magnetization_mub_per_fu": 1.000}

***

Entry 3:
{"formula": "Cs2RbCdHg", "functional": "PBE-GGA", "state": "relaxed", "lattice_angstrom": [[7.3672, 0.0000, 0.0000], [0.0000, 7.3672, 0.0000], [0.0000, 0.0000, 6.0191]], "species": ["Cs", "Cs", "Rb", "Cd", "Hg"], "fractional_positions": [[0.0000, 0.5000, 0.0000], [0.5000, 0.0000, 0.0000], [0.0000, 0.0000, 0.5000], [0.5000, 0.5000, 0.5000], [0.5000, 0.5000, 0.0000]], "relative_energy_mev_per_atom": 74, "e_form_ev_per_atom": -0.03, "energy_ev_per_atom": -0.8092, "dos_at_fermi_per_ev_cell": 3.15, "sg": "P4/mmm (123)", "total_magnetization_mub_per_fu": 0.000}

***

Entry 4:
{"formula": "Pm8BiN6", "functional": "PBE-GGA", "state": "relaxed", "lattice_angstrom": [[5.0175, 2.8969, 3.8815], [-5.0175, 2.8969, 3.8815], [0.0000, -5.7937, 3.8815]], "species": ["Pm", "Pm", "Pm", "Pm", "Pm", "Pm", "Pm", "Pm", "Bi", "N", "N", "N", "N", "N", "N"], "fractional_positions": [[0.1043, 0.3558, 0.7949], [0.2051, 0.8957, 0.6442], [0.2215, 0.2215, 0.2215], [0.3558, 0.7949, 0.1043], [0.6442, 0.2051, 0.8957], [0.7785, 0.7785, 0.7785], [0.7949, 0.1043, 0.3558], [0.8957, 0.6442, 0.2051], [0.5000, 0.5000, 0.5000], [0.0779, 0.6820, 0.8872], [0.1128, 0.9221, 0.3180], [0.3180, 0.1128, 0.9221], [0.6820, 0.8872, 0.0779], [0.8872, 0.0779, 0.6820], [0.9221, 0.3180, 0.1128]], "formation_energy_uncorrected_ev_per_fu": -16.00, "energy_ev_per_atom": -7.1889, "dos_at_fermi_per_ev_cell": 7.07, "sg": "R-3 (148)", "total_magnetization_mub_per_fu": 1.911}

***

Entry 5:
{"formula": "ReTe3Au", "functional": "PBE-GGA", "state": "relaxed", "lattice_angstrom": [[5.3881, 0.0000, 0.0000], [0.0000, 5.3881, 0.0000], [0.0000, 0.0000, 5.3881]], "species": ["Re", "Te", "Te", "Te", "Au"], "fractional_positions": [[0.0000, 0.0000, 0.0000], [0.0000, 0.5000, 0.5000], [0.5000, 0.0000, 0.5000], [0.5000, 0.5000, 0.0000], [0.5000, 0.5000, 0.5000]], "relative_energy_mev_per_atom": 685, "formation_energy_uncorrected_ev_per_fu": 7.68, "energy_ev_per_atom": -3.4944, "dos_at_fermi_per_ev_cell": 5.95, "sg": "Pm-3m (221)", "total_magnetization_mub_per_fu": 4.155}

***

Entry 6:
{"formula": "Ca3Fe2N4", "functional": "PBE-GGA", "state": "relaxed", "lattice_angstrom": [[-2.4322, 5.0928, 2.9703], [2.4322, -5.0928, 2.9703], [2.4322, 5.0928, -2.9703]], "species": ["Ca", "Ca", "Ca", "Fe", "Fe", "N", "N", "N", "N"], "fractional_positions": [[0.0000, 0.0000, 0.0000], [0.0512, 0.7392, 0.3120], [0.4272, 0.7392, 0.6880], [0.6028, 0.2185, 0.3844], [0.8341, 0.2185, 0.6156], [0.3760, 0.1566, 0.2195], [0.5003, 0.0003, 0.5000], [0.9371, 0.1566, 0.7805], [0.9555, 0.4555, 0.5000]], "formation_energy_uncorrected_ev_per_fu": -5.25, "energy_ev_per_atom": -6.8315, "dos_at_fermi_per_ev_cell": 2.14, "sg": "Imm2 (44)", "total_magnetization_mub_per_fu": 2.010}

***

Entry 7:
{"formula": "CdRhIN2", "functional": "PBE-GGA", "state": "relaxed", "lattice_angstrom": [[3.9182, 0.0000, 0.0000], [0.0000, 3.9182, 0.0000], [0.0000, 0.0000, 7.5726]], "species": ["Cd", "Rh", "I", "N", "N"], "fractional_positions": [[0.0000, 0.0000, 0.0000], [0.5000, 0.5000, 0.5000], [0.5000, 0.5000, 0.0000], [0.0000, 0.5000, 0.5000], [0.5000, 0.0000, 0.5000]], "relative_energy_mev_per_atom": 0, "formation_energy_uncorrected_ev_per_fu": 5.30, "energy_ev_per_atom": -4.2342, "dos_at_fermi_per_ev_cell": 2.64, "sg": "P4/mmm (123)", "total_magnetization_mub_per_fu": 0.497}

***

Entry 8:
{"formula": "Sm3HgC", "functional": "PBE-GGA", "state": "relaxed", "lattice_angstrom": [[5.0296, 0.0000, 0.0000], [0.0000, 5.0296, 0.0000], [0.0000, 0.0000, 5.0296]], "species": ["Sm", "Sm", "Sm", "Hg", "C"], "fractional_positions": [[0.0000, 0.0000, 0.5000], [0.0000, 0.5000, 0.0000], [0.5000, 0.0000, 0.0000], [0.5000, 0.5000, 0.5000], [0.0000, 0.0000, 0.0000]], "relative_energy_mev_per_atom": 48, "e_form_ev_per_atom": -0.26, "energy_ev_per_atom": -4.9957, "dos_at_fermi_per_ev_cell": 6.40, "sg": "Pm-3m (221)", "total_magnetization_mub_per_fu": 0.000}